{
  "formula": "LiHgRh",
  "functional": "PBE",
  "state": "optimized geometry",
  "relative_energy_mev_per_atom": 53,
  "m_tot_mub_per_fu": 0.49,
  "formation_energy_ev_per_fu": -0.1,
  "final_energy_ev_per_atom": -3.216,
  "mass_density_g_cm3": 9.81,
  "lattice": [[1.440, -8.328, 0.000], [1.440, 8.328, 0.000], [0.000, 0.000, 4.380]],
  "species": ["Li", "Li", "Hg", "Hg", "Rh", "Rh"],
  "fractional_positions": [[0.108, 0.892, 0.750], [0.892, 0.108, 0.250], [0.302, 0.698, 0.750], [0.698, 0.302, 0.250], [0.467, 0.533, 0.750], [0.533, 0.467, 0.250]]
}